[1]
A geometry-optimized Tb2PrZn5 structure. Source: Alexandria via LeMat-Bulk, functional PBE.

Calculated values
The value obtained for the uncorrected energy is -2.85 eV/atom. The value obtained for the total magnetization is 0.00 μB per atom. The value obtained for the formation energy is -0.30 eV/atom.

Cell: 4.912 4.912 14.281 Å, 90.00 90.00 90.00°
Space group I4/mmm (No. 139)
Unique sites:
Tb  0.000  0.000  0.231 [4 per cell]
Pr  0.000  0.000  0.500 [2 per cell]
Zn  0.000  0.000  0.000 [2 per cell]
Zn  0.000  0.500  0.119 [8 per cell]



[2]
A geometry-optimized TbPr5Zn4 structure. Source: Alexandria via LeMat-Bulk, functional PBE.

Calculated values
The value obtained for the uncorrected energy is -3.60 eV/atom. The value obtained for the total magnetization is 0.00 μB per atom. The value obtained for the formation energy is -0.23 eV/atom.

Cell: 3.708 3.708 19.916 Å, 90.00 90.00 90.00°
Space group P4/mmm (No. 123)
Unique sites:
Tb  0.000  0.000  0.000 [1 per cell]
Pr  0.500  0.500  0.128 [2 per cell]
Pr  0.500  0.500  0.314 [2 per cell]
Pr  0.500  0.500  0.500 [1 per cell]
Zn  0.000  0.000  0.219 [2 per cell]
Zn  0.000  0.000  0.407 [2 per cell]



[3]
A geometry-optimized Tb2PrZn structure. Source: Alexandria via LeMat-Bulk, functional PBE.

Calculated values
The value obtained for the uncorrected energy is -3.99 eV/atom. The energy above the lowest structure with this stoichiometry comes out at 0.00 kcal/mol of atoms. The value obtained for the total magnetization is 0.00 μB per atom. The value obtained for the formation energy is -0.16 eV/atom.

Cell: 3.614 3.614 8.749 Å, 90.00 90.00 90.00°
Space group P4/mmm (No. 123)
Unique sites:
Tb  0.000  0.000  0.202 [2 per cell]
Pr  0.500  0.500  0.500 [1 per cell]
Zn  0.500  0.500  0.000 [1 per cell]



[4]
A geometry-optimized TbPr3Zn8 structure. Source: Alexandria via LeMat-Bulk, functional PBE.

Calculated values
The value obtained for the uncorrected energy is -2.73 eV/atom. The energy above the lowest structure with this stoichiometry comes out at 0.41 kcal/mol of atoms. The value obtained for the total magnetization is 0.00 μB per atom. The value obtained for the formation energy is -0.30 eV/atom.

Cell: 5.6967 5.6967 8.7511 Å, 90.00 90.00 120.00°
Space group P3m1 (No. 156)
Unique sites:
Tb  0.0000  0.0000  0.0000 [1 per cell]
Pr  0.0000  0.0000  0.3906 [1 per cell]
Pr  0.6667  0.3333  0.4962 [1 per cell]
Pr  0.6667  0.3333  0.8944 [1 per cell]
Zn  0.0083  0.5042  0.1935 [3 per cell]
Zn  0.1671  0.3342  0.6990 [3 per cell]
Zn  0.3333  0.6667  0.4485 [1 per cell]
Zn  0.3333  0.6667  0.9433 [1 per cell]



[5]
A geometry-optimized Tb5Pr4Zn structure. Source: Alexandria via LeMat-Bulk, functional PBE.

Calculated values
The value obtained for the uncorrected energy is -4.41 eV/atom. The value obtained for the total magnetization is 0.00 μB per atom. The value obtained for the formation energy is -0.06 eV/atom.

Cell: 3.627 3.627 24.199 Å, 90.00 90.00 90.00°
Space group P4/mmm (No. 123)
Unique sites:
Tb  0.000  0.000  0.000 [1 per cell]
Tb  0.000  0.000  0.213 [2 per cell]
Tb  0.000  0.000  0.428 [2 per cell]
Pr  0.500  0.500  0.106 [2 per cell]
Pr  0.500  0.500  0.319 [2 per cell]
Zn  0.500  0.500  0.500 [1 per cell]



[6]
A geometry-optimized Tb3PrZn structure. Source: Alexandria via LeMat-Bulk, functional PBE.

Calculated values
The value obtained for the uncorrected energy is -3.94 eV/atom. The value obtained for the total magnetization is 0.00 μB per atom. The value obtained for the formation energy is 0.05 eV/atom.

Cell: 11.773 8.369 7.813 Å, 90.00 124.38 90.00°
Space group C2/m (No. 12)
Unique sites:
Tb  0.080  0.000  0.268 [4 per cell]
Tb  0.183  0.203  0.710 [8 per cell]
Pr  0.049  0.500  0.302 [4 per cell]
Zn  0.227  0.000  0.059 [4 per cell]



[7]
A geometry-optimized TbPr2Zn structure. Source: Alexandria via LeMat-Bulk, functional PBE.

Calculated values
The value obtained for the uncorrected energy is -4.02 eV/atom. The energy above the lowest structure with this stoichiometry comes out at 0.00 kcal/mol of atoms. The value obtained for the total magnetization is 0.00 μB per atom. The value obtained for the formation energy is -0.15 eV/atom.

Cell: 5.192 5.192 17.588 Å, 90.00 90.00 90.00°
Space group I4/mmm (No. 139)
Unique sites:
Tb  0.000  0.000  0.150 [4 per cell]
Pr  0.000  0.000  0.355 [4 per cell]
Pr  0.000  0.500  0.000 [4 per cell]
Zn  0.000  0.500  0.250 [4 per cell]



[8]
A geometry-optimized Tb2Pr8Zn structure. Source: Alexandria via LeMat-Bulk, functional PBE.

Calculated values
The value obtained for the uncorrected energy is -4.45 eV/atom. The value obtained for the total magnetization is 0.00 μB per atom. The value obtained for the formation energy is -0.01 eV/atom.

Cell: 19.583 5.747 6.595 Å, 90.00 93.18 90.00°
Space group C2/m (No. 12)
Unique sites:
Tb  0.237  0.000  0.335 [4 per cell]
Pr  0.040  0.000  0.251 [4 per cell]
Pr  0.080  0.500  0.608 [4 per cell]
Pr  0.156  0.500  0.121 [4 per cell]
Pr  0.157  0.000  0.806 [4 per cell]
Zn  0.000  0.500  0.000 [2 per cell]